Here is crystalline AsRuCl2 at its relaxed geometry from Alexandria via LeMat-Bulk. Energies are from GGA-PBE.

Values from the calculation:
Uncorrected formation energy, eV per atom: -0.07
Offset from the most stable computed form, meV/atom: 251
Crystal system: trigonal

Lattice parameters (Å, degrees): 8.8523 8.8523 8.8523 22.37 22.37 22.37
With the nearest neighbours (Å) after each atom.
Positions (direct):
As  0.0000  0.0000  0.0000  3 Ru 2.41
Ru  0.7196  0.7196  0.7196  3 As 2.41, 3 Cl 2.59
Cl  0.2584  0.2584  0.2584  3 As 2.77
Cl  0.4509  0.4509  0.4509  3 Ru 2.59

=====

Here is crystalline Pr5In6 at its relaxed geometry from Alexandria via LeMat-Bulk. Energies are from GGA-PBE.

Values from the calculation:
Formation enthalpy at 0 K, meV per atom: -382
Crystal system: orthorhombic

Lattice parameters (Å, degrees): 9.3483 9.3483 9.3483 146.37 131.62 60.21
With the nearest neighbours (Å) after each atom.
Positions (direct):
Pr  0.0000  0.0000  0.0000  8 In 3.24-3.54
Pr  0.1573  0.6573  0.5000  8 In 3.42-3.54, 4 Pr 3.71-3.72
Pr  0.3149  0.3149  0.0000  8 In 3.23-3.44
Pr  0.6851  0.6851  0.0000  8 In 3.23-3.44
Pr  0.8427  0.3427  0.5000  8 In 3.42-3.54, 4 Pr 3.71-3.72
In  0.1321  0.8504  0.2817  7 Pr 3.23-3.54, 1 In 3.35
In  0.2991  0.5000  0.7991  1 In 3.08, 4 Pr 3.37-3.42
In  0.4313  0.1496  0.2817  7 Pr 3.23-3.54, 1 In 3.35
In  0.5687  0.8504  0.7183  7 Pr 3.23-3.54, 1 In 3.35
In  0.7009  0.5000  0.2009  1 In 3.08, 4 Pr 3.37-3.42
In  0.8679  0.1496  0.7183  7 Pr 3.23-3.54, 1 In 3.35

=====

Here is crystalline Ba8SrCa5 at its relaxed geometry from Alexandria via LeMat-Bulk. Energies are from GGA-PBE.

Values from the calculation:
Formation enthalpy at 0 K, meV per atom: 162
Crystal system: tetragonal

Lattice parameters (Å, degrees): 10.1452 10.1452 10.1452 111.14 111.14 106.19
With the nearest neighbours (Å) after each atom.
Positions (direct):
Ba  0.1809  0.4080  0.5850  1 Sr 3.84, 5 Ca 3.85-4.25
Ba  0.3354  0.2277  0.2412  5 Ca 3.96-4.37, 3 Ba 4.29-4.35
Ba  0.4041  0.8191  0.2271  1 Sr 3.84, 5 Ca 3.85-4.25
Ba  0.5920  0.1769  0.7729  1 Sr 3.84, 5 Ca 3.85-4.25
Ba  0.7723  0.0135  0.1077  5 Ca 3.96-4.37, 3 Ba 4.29-4.35
Ba  0.8231  0.5959  0.4150  1 Sr 3.84, 5 Ca 3.85-4.25
Ba  0.9058  0.6646  0.8923  5 Ca 3.96-4.37, 3 Ba 4.29-4.35
Ba  0.9865  0.0942  0.7588  5 Ca 3.96-4.37, 3 Ba 4.29-4.35
Sr  0.5000  0.5000  0.0000  4 Ba 3.84
Ca  0.0632  0.4770  0.1915  8 Ba 3.95-4.37, 2 Ca 4.11
Ca  0.1283  0.9368  0.4137  8 Ba 3.95-4.37, 2 Ca 4.11
Ca  0.2854  0.8717  0.8085  8 Ba 3.95-4.37, 2 Ca 4.11
Ca  0.5230  0.7146  0.5863  8 Ba 3.95-4.37, 2 Ca 4.11
Ca  0.7500  0.2500  0.5000  8 Ba 3.85-3.96

=====

Here is crystalline PC at its relaxed geometry from Alexandria via LeMat-Bulk. Energies are from GGA-PBE.

Values from the calculation:
Formation enthalpy at 0 K, meV per atom: 812
Offset from the most stable computed form, meV/atom: 500
Crystal system: tetragonal

Lattice parameters (Å, degrees): 6.3459 6.3459 6.3459 93.02 93.02 153.44
With the nearest neighbours (Å) after each atom.
Positions (direct):
P  0.0977  0.7007  0.7984  3 C 1.79-1.81
P  0.2993  0.0977  0.3970  3 C 1.79-1.81
P  0.7007  0.9023  0.6030  3 C 1.79-1.81
P  0.9023  0.2993  0.2016  3 C 1.79-1.81
C  0.1071  0.3300  0.4370  3 P 1.79-1.81
C  0.3300  0.8929  0.2229  3 P 1.79-1.81
C  0.6700  0.1071  0.7771  3 P 1.79-1.81
C  0.8929  0.6700  0.5630  3 P 1.79-1.81

=====

| no. | DOS at the Fermi energy (states/eV per cell) | uncorrected energy (eV/cell) | total magnetic moment (Bohr magnetons per cell) |
| --- | --- | --- | --- |
| 1 | 2.436 | -17.915 | 1.03 |
| 2 | 10.117 | -44.530 | 0.00 |
| 3 | 24.835 | -24.804 | 0.00 |
| 4 | 2.251 | -52.038 | 0.00 |